SmP2Rh3 (GGA-PBE, relaxed); symmetry = C2/m (12)
1.0
3.903 0.000 0.000
-1.952 7.553 -2.464
0.000 0.048 9.709
P Rh Sm
6 9 3
Cartesian
0.000 5.506 3.547 P
1.952 4.595 6.943 P
0.000 6.982 -0.120 P
1.952 0.619 7.365 P
1.952 2.095 3.698 P
0.000 3.006 0.302 P
1.952 6.948 4.280 Rh
1.952 1.942 1.382 Rh
0.000 0.653 2.965 Rh
1.952 0.024 4.855 Rh
1.952 2.727 8.399 Rh
0.000 5.659 5.862 Rh
1.952 4.220 4.512 Rh
0.000 3.381 2.732 Rh
0.000 4.873 -1.155 Rh
0.000 2.363 5.970 Sm
0.000 0.000 0.000 Sm
1.952 5.238 1.274 Sm

***

Sm2P4Rh5 (GGA-PBE, relaxed); symmetry = Fmmm (69)
1.0
5.453 0.000 0.000
2.727 4.862 0.000
2.727 0.000 7.030
Rh P Sm
5 4 2
Cartesian
4.090 2.431 3.515 Rh
6.817 2.431 3.515 Rh
2.727 0.000 0.000 Rh
4.090 2.431 0.000 Rh
1.363 2.431 0.000 Rh
5.453 1.526 5.220 P
2.727 1.526 1.811 P
8.180 3.336 5.220 P
5.453 3.336 1.811 P
2.727 0.000 5.119 Sm
5.453 0.000 1.912 Sm

***

Sm3SnP2Rh9 (GGA-PBE, relaxed); symmetry = P-3m1 (164)
1.0
6.090 0.000 0.000
-3.045 5.275 0.000
0.000 0.000 9.278
Rh P Sm Sn
9 2 3 1
Cartesian
-1.669 4.480 2.498 Rh
1.523 2.637 0.000 Rh
3.045 0.000 0.000 Rh
-1.523 2.637 0.000 Rh
1.376 0.794 6.780 Rh
4.715 0.794 6.780 Rh
1.669 4.480 2.498 Rh
0.000 1.589 2.498 Rh
3.045 3.686 6.780 Rh
0.000 3.516 1.473 P
3.045 1.758 7.805 P
0.000 3.516 6.618 Sm
3.045 1.758 2.660 Sm
0.000 0.000 0.000 Sm
0.000 0.000 4.639 Sn

***

Sm2SnP3Rh12 (GGA-PBE, relaxed); symmetry = R-3m (166)
1.0
7.194 -0.630 -0.447
3.005 6.566 -0.447
3.005 1.749 6.345
Rh P Sm Sn
12 3 2 1
Cartesian
7.877 6.864 4.869 Rh
5.326 0.821 0.582 Rh
7.082 4.122 -0.007 Rh
3.344 4.226 0.582 Rh
6.121 6.329 1.558 Rh
9.859 3.460 4.869 Rh
7.082 1.356 3.893 Rh
3.344 1.947 3.795 Rh
9.859 5.739 1.656 Rh
4.677 5.489 3.893 Rh
6.121 3.563 5.459 Rh
8.527 2.197 1.558 Rh
1.502 3.283 -0.223 P
3.597 -0.315 -0.223 P
1.502 0.875 3.172 P
5.280 3.073 2.180 Sm
7.923 4.612 3.271 Sm
0.000 0.000 0.000 Sn

***

Tb2SmP3Rh12 (GGA-PBE, relaxed); symmetry = R-3m (166)
1.0
-0.376 2.420 -6.262
3.568 -4.922 -2.873
-5.290 -3.705 -1.871
Rh Tb P Sm
12 2 3 1
Cartesian
-3.623 -4.289 -5.076 Rh
1.336 -3.485 -3.366 Rh
1.145 -4.944 -5.615 Rh
-1.120 -5.215 -3.566 Rh
1.525 -1.918 -5.930 Rh
-2.920 -2.900 -2.884 Rh
-0.559 0.043 -4.994 Rh
-0.978 -0.992 -7.440 Rh
-3.434 -2.723 -7.640 Rh
-1.539 -6.251 -6.012 Rh
-3.243 -1.263 -5.391 Rh
0.822 -3.308 -8.122 Rh
-0.780 -2.307 -4.091 Tb
-1.318 -3.900 -6.915 Tb
-0.188 1.210 -3.131 P
-2.645 -1.853 -0.935 P
1.784 -2.461 -1.436 P
0.000 0.000 0.000 Sm

***

TbSmP2Rh5 (GGA-PBE, relaxed); symmetry = P4/mmm (123)
1.0
4.048 0.000 0.000
0.000 4.048 0.000
0.000 0.000 10.741
Rh P Sm Tb
5 2 1 1
Cartesian
0.000 2.024 8.632 Rh
2.024 0.000 8.632 Rh
0.000 2.024 2.109 Rh
2.024 2.024 5.371 Rh
2.024 0.000 2.109 Rh
2.024 2.024 3.105 P
2.024 2.024 7.636 P
0.000 0.000 5.371 Sm
0.000 0.000 0.000 Tb

***

Let's list DFT total energy in order: -7.315, -7.074, -6.987, -6.792, -6.970, -7.079 eV/atom.
Let's list DFT formation energy in order: -1049, -907, -644, -243, -391, -754 meV/atom.